Crystalline RbNdSi2O6 at its relaxed geometry. Source: the Alexandria database, functional GGA-PBE.

Unit cell a=7.406 b=7.406 c=5.477 alpha=97.44 beta=97.44 gamma=88.76
Atoms (fractional coordinates):
1 Rb 0.171 0.829 0.250
2 Rb 0.829 0.171 0.750
3 Nd 0.622 0.378 0.250
4 Nd 0.378 0.622 0.750
5 Si 0.303 0.143 0.791
6 Si 0.857 0.697 0.709
7 Si 0.697 0.857 0.209
8 Si 0.143 0.303 0.291
9 O 0.934 0.370 0.243
10 O 0.630 0.066 0.257
11 O 0.066 0.630 0.757
12 O 0.370 0.934 0.743
13 O 0.181 0.164 0.033
14 O 0.836 0.819 0.467
15 O 0.819 0.836 0.967
16 O 0.164 0.181 0.533
17 O 0.308 0.453 0.349
18 O 0.547 0.692 0.151
19 O 0.692 0.547 0.651
20 O 0.453 0.308 0.849

Output
E_form (uncorrected)	-2828	meV per atom
symmetry	C2/c (15)

=====

Crystalline Tb5Pm8Sm at its relaxed geometry. Source: the Alexandria database, functional GGA-PBE.

Unit cell a=8.563 b=8.563 c=8.563 alpha=111.34 beta=105.80 gamma=111.34
Atoms (fractional coordinates):
1 Tb 0.036 0.315 0.133
2 Tb 0.867 0.902 0.182
3 Tb 0.818 0.685 0.721
4 Tb 0.500 0.000 0.500
5 Tb 0.279 0.098 0.964
6 Pm 0.167 0.735 0.075
7 Pm 0.925 0.092 0.660
8 Pm 0.726 0.255 0.330
9 Pm 0.670 0.395 0.925
10 Pm 0.530 0.605 0.274
11 Pm 0.568 0.908 0.833
12 Pm 0.340 0.265 0.432
13 Pm 0.075 0.745 0.470
14 Sm 0.250 0.500 0.750

Output
symmetry	I-4 (82)
formation enthalpy at 0 K	0.2416	eV/atom

=====

Crystalline K3Tl2InBr6 at its relaxed geometry. Source: the Alexandria database, functional GGA-PBE.

Unit cell a=4.744 b=9.500 c=10.624 alpha=103.02 beta=102.90 gamma=90.00
Atoms (fractional coordinates):
1 K 0.500 0.500 0.000
2 K 0.833 0.167 0.666
3 K 0.167 0.833 0.334
4 Tl 0.834 0.667 0.667
5 Tl 0.166 0.333 0.333
6 In 0.500 0.000 0.000
7 Br 0.333 0.921 0.666
8 Br 0.666 0.586 0.331
9 Br 0.667 0.079 0.334
10 Br 0.999 0.251 0.997
11 Br 0.001 0.749 0.003
12 Br 0.334 0.414 0.669

Output
E_form (uncorrected)	-1268	meV per atom
symmetry	C2/m (12)

=====

Crystalline DyThCuIr at its relaxed geometry. Source: the Alexandria database, functional GGA-PBE.

Unit cell a=4.985 b=4.985 c=4.985 alpha=60.00 beta=60.00 gamma=60.00
Atoms (fractional coordinates):
1 Ir 0.000 0.000 0.000
2 Cu 0.500 0.500 0.500
3 Th 0.250 0.250 0.250
4 Dy 0.750 0.750 0.750

Output
symmetry	F-43m (216)
formation enthalpy at 0 K	-0.5261	eV/atom
polymorph energy (0 for the lowest one)	115	meV/atom

=====

Crystalline Dy4HoPbS8 at its relaxed geometry. Source: the Alexandria database, functional GGA-PBE.

Unit cell a=8.145 b=8.145 c=8.134 alpha=59.95 beta=59.95 gamma=60.00
Atoms (fractional coordinates):
1 Dy 0.625 0.625 0.125
2 Dy 0.002 0.494 0.502
3 Dy 0.494 0.002 0.502
4 Dy 0.002 0.002 0.502
5 Ho 0.002 0.002 0.994
6 Pb 0.375 0.375 0.875
7 S 0.236 0.791 0.737
8 S 0.791 0.236 0.737
9 S 0.236 0.236 0.737
10 S 0.236 0.236 0.291
11 S 0.759 0.226 0.257
12 S 0.226 0.759 0.257
13 S 0.759 0.759 0.257
14 S 0.758 0.758 0.727

Output
E_form (uncorrected)	-1770	meV per atom
symmetry	R3m (160)

=====

Crystalline Ba2Ge2Au at its relaxed geometry. Source: the Alexandria database, functional GGA-PBE.

Unit cell a=8.452 b=8.452 c=4.551 alpha=90.00 beta=90.00 gamma=90.00
Atoms (fractional coordinates):
1 Ge 0.400 0.900 0.000
2 Ge 0.900 0.600 0.000
3 Ge 0.600 0.100 0.000
4 Ge 0.100 0.400 0.000
5 Au 0.000 0.000 0.000
6 Au 0.500 0.500 0.000
7 Ba 0.192 0.692 0.500
8 Ba 0.692 0.808 0.500
9 Ba 0.808 0.308 0.500
10 Ba 0.308 0.192 0.500

Output
symmetry	P4/mbm (127)
formation enthalpy at 0 K	-0.4221	eV/atom
polymorph energy (0 for the lowest one)	107	meV/atom

=====

Crystalline VTeI2N at its relaxed geometry. Source: the Alexandria database, functional GGA-PBE.

Unit cell a=5.745 b=5.745 c=3.699 alpha=90.00 beta=90.00 gamma=90.00
Each line ends with the local moment (μB).
Atoms (fractional coordinates):
1 I 0.000 0.500 0.000  -0.05
2 I 0.500 0.000 0.000  -0.05
3 N 0.000 0.000 0.500  -0.24
4 Te 0.500 0.500 0.500  -0.01
5 V 0.000 0.000 0.000  1.25

Output
E_form (uncorrected)	242	meV per atom
symmetry	P4/mmm (123)
polymorph energy (0 for the lowest one)	0	meV/atom

=====

Crystalline TaNbFe3 at its relaxed geometry. Source: the Alexandria database, functional GGA-PBE.

Unit cell a=4.430 b=4.430 c=4.430 alpha=90.00 beta=90.00 gamma=90.00
Each line ends with the local moment (μB).
Atoms (fractional coordinates):
1 Nb 0.500 0.500 0.500  -0.79
2 Fe 0.000 0.500 0.000  1.65
3 Fe 0.000 0.000 0.500  1.61
4 Fe 0.500 0.000 0.000  1.48
5 Ta 0.000 0.000 0.000  -0.37

Output
symmetry	Pm-3m (221)
formation enthalpy at 0 K	1.4233	eV/atom
polymorph energy (0 for the lowest one)	0	meV/atom

=====

Crystalline Y4Se3O2 at its relaxed geometry. Source: the Alexandria database, functional GGA-PBE.

Unit cell a=3.889 b=6.681 c=7.891 alpha=73.65 beta=75.74 gamma=73.08
Atoms (fractional coordinates):
1 Y 0.316 0.262 0.106
2 Y 0.684 0.738 0.894
3 Y 0.111 0.179 0.599
4 Y 0.889 0.821 0.401
5 Se 0.386 0.507 0.721
6 Se 0.000 0.000 0.000
7 Se 0.614 0.493 0.279
8 O 0.312 0.008 0.369
9 O 0.688 0.992 0.631

Output
E_form (uncorrected)	-2420	meV per atom
symmetry	C2/m (12)

=====

Crystalline TiIn2Se at its relaxed geometry. Source: the Alexandria database, functional GGA-PBE.

Unit cell a=8.049 b=8.049 c=6.401 alpha=51.04 beta=51.04 gamma=90.00
Each line ends with the local moment (μB).
Atoms (fractional coordinates):
1 Ti 0.500 0.500 0.000  1.34
2 Ti 0.250 0.750 0.500  1.36
3 Se 0.000 0.000 0.000  0.02
4 Se 0.750 0.250 0.500  0.02
5 In 0.630 0.125 0.250  0.02
6 In 0.120 0.625 0.250  0.01
7 In 0.375 0.370 0.750  0.01
8 In 0.875 0.880 0.750  0.01

Output
E_form (uncorrected)	87	meV per atom
symmetry	I-42d (122)

=====

Crystalline PmCuI2 at its relaxed geometry. Source: the Alexandria database, functional GGA-PBE.

Unit cell a=4.061 b=4.061 c=9.614 alpha=77.81 beta=77.81 gamma=60.00
Atoms (fractional coordinates):
1 I 0.110 0.110 0.670
2 I 0.890 0.890 0.330
3 Cu 0.500 0.500 0.500
4 Pm 0.000 0.000 0.000

Output
E_form (uncorrected)	-207	meV per atom
symmetry	R-3m (166)

=====

Crystalline BaSr2MgH at its relaxed geometry. Source: the Alexandria database, functional GGA-PBE.

Unit cell a=5.533 b=5.533 c=5.773 alpha=90.00 beta=90.00 gamma=90.00
Atoms (fractional coordinates):
1 Sr 0.000 0.500 0.000
2 Sr 0.500 0.000 0.000
3 Mg 0.500 0.500 0.500
4 Ba 0.000 0.000 0.500
5 H 0.000 0.000 0.000

Output
energy	-10.85	eV for the cell shown
symmetry	P4/mmm (123)

=====

Crystalline Th2CoCuAg at its relaxed geometry. Source: the Alexandria database, functional GGA-PBE.

Unit cell a=3.859 b=7.831 c=7.881 alpha=113.12 beta=90.00 gamma=90.00
Atoms (fractional coordinates):
1 Th 0.750 0.877 0.648
2 Th 0.750 0.716 0.005
3 Th 0.250 0.123 0.352
4 Th 0.250 0.284 0.995
5 Co 0.250 0.891 0.898
6 Co 0.750 0.109 0.102
7 Cu 0.250 0.562 0.632
8 Cu 0.750 0.438 0.368
9 Ag 0.250 0.675 0.320
10 Ag 0.750 0.325 0.680

Output
symmetry	P2_1/m (11)
formation enthalpy at 0 K	-0.1829	eV/atom

=====

Crystalline MnCo2Pt at its relaxed geometry. Source: the Alexandria database, functional GGA-PBE.

Unit cell a=4.209 b=4.209 c=4.209 alpha=60.00 beta=60.00 gamma=60.00
Each line ends with the local moment (μB).
Atoms (fractional coordinates):
1 Co 0.000 0.000 0.000  1.88
2 Co 0.250 0.250 0.250  1.86
3 Mn 0.500 0.500 0.500  3.51
4 Pt 0.750 0.750 0.750  0.41

Output
symmetry	F-43m (216)
formation enthalpy at 0 K	0.0193	eV/atom

=====

Crystalline Ce4Te3Br at its relaxed geometry. Source: the Alexandria database, functional GGA-PBE.

Unit cell a=4.476 b=4.476 c=14.313 alpha=81.00 beta=81.00 gamma=60.00
Each line ends with the local moment (μB).
Atoms (fractional coordinates):
1 Te 0.747 0.747 0.760  -0.02
2 Te 0.500 0.500 0.500  -0.02
3 Te 0.253 0.253 0.240  -0.02
4 Br 0.000 0.000 0.000  -0.01
5 Ce 0.629 0.629 0.112  0.96
6 Ce 0.877 0.877 0.370  0.93
7 Ce 0.371 0.371 0.888  0.96
8 Ce 0.123 0.123 0.630  0.93

Output
E_form (uncorrected)	-1286	meV per atom
symmetry	R-3m (166)

=====

Crystalline Cs2PrMgI6 at its relaxed geometry. Source: the Alexandria database, functional GGA-PBE.

Unit cell a=8.867 b=8.859 c=12.504 alpha=90.00 beta=90.00 gamma=90.00
Each line ends with the local moment (μB).
Atoms (fractional coordinates):
1 Cs 0.500 0.760 0.246  0.00
2 Cs 0.000 0.240 0.746  0.00
3 Cs 0.500 0.760 0.754  0.00
4 Cs 0.000 0.240 0.254  0.00
5 Pr 0.000 0.744 0.500  0.11
6 Pr 0.500 0.256 0.000  0.11
7 Mg 0.500 0.246 0.500  0.06
8 Mg 0.000 0.754 0.000  0.06
9 I 0.500 0.237 0.252  0.01
10 I 0.500 0.237 0.748  0.01
11 I 0.000 0.763 0.248  0.01
12 I 0.000 0.763 0.752  0.01
13 I 0.258 0.991 0.500  0.01
14 I 0.742 0.991 0.500  0.01
15 I 0.246 0.485 0.500  0.01
16 I 0.754 0.485 0.500  0.01
17 I 0.746 0.515 0.000  0.01
18 I 0.254 0.515 0.000  0.01
19 I 0.242 0.009 0.000  0.01
20 I 0.758 0.009 0.000  0.01

Output
E_form (uncorrected)	-1247	meV per atom
symmetry	Pmmn (59)

=====

Crystalline Al4Pd7Au at its relaxed geometry. Source: the Alexandria database, functional GGA-PBE.

Unit cell a=4.862 b=7.809 c=6.095 alpha=77.78 beta=66.49 gamma=71.86
Atoms (fractional coordinates):
1 Al 0.574 0.223 0.629
2 Al 0.426 0.777 0.371
3 Al 0.721 0.674 0.884
4 Al 0.279 0.326 0.116
5 Pd 0.789 0.895 0.527
6 Pd 0.211 0.105 0.473
7 Pd 0.075 0.646 0.204
8 Pd 0.925 0.354 0.796
9 Pd 0.353 0.560 0.734
10 Pd 0.500 0.000 0.000
11 Pd 0.647 0.440 0.266
12 Au 0.000 0.000 0.000

Output
symmetry	C2/m (12)
formation enthalpy at 0 K	-0.4410	eV/atom

=====

Crystalline Al4TlTe7 at its relaxed geometry. Source: the Alexandria database, functional GGA-PBE.

Unit cell a=6.889 b=7.120 c=17.045 alpha=90.00 beta=90.00 gamma=90.00
Atoms (fractional coordinates):
1 Al 0.610 0.659 0.878
2 Al 0.096 0.827 0.250
3 Al 0.596 0.173 0.250
4 Al 0.110 0.341 0.622
5 Al 0.110 0.341 0.378
6 Al 0.610 0.659 0.122
7 Al 0.096 0.827 0.750
8 Al 0.596 0.173 0.750
9 Tl 0.361 0.897 0.500
10 Tl 0.861 0.103 0.000
11 Te 0.991 0.683 0.115
12 Te 0.491 0.317 0.385
13 Te 0.483 0.310 0.885
14 Te 0.983 0.690 0.615
15 Te 0.983 0.690 0.385
16 Te 0.483 0.310 0.115
17 Te 0.488 0.811 0.743
18 Te 0.988 0.189 0.757
19 Te 0.988 0.189 0.243
20 Te 0.488 0.811 0.257
21 Te 0.456 0.837 0.000
22 Te 0.956 0.163 0.500
23 Te 0.991 0.683 0.885
24 Te 0.491 0.317 0.615

Output
E_form (uncorrected)	-374	meV per atom
symmetry	Pmn2_1 (31)

=====

Crystalline Li3CuPd7 at its relaxed geometry. Source: the Alexandria database, functional GGA-PBE.

Unit cell a=4.907 b=6.681 c=6.681 alpha=84.86 beta=117.63 gamma=117.63
Atoms (fractional coordinates):
1 Li 0.000 0.771 0.229
2 Li 0.500 0.000 0.000
3 Li 0.000 0.229 0.771
4 Cu 0.500 0.500 0.500
5 Pd 0.313 0.187 0.187
6 Pd 0.340 0.066 0.589
7 Pd 0.660 0.411 0.934
8 Pd 0.340 0.589 0.066
9 Pd 0.000 0.500 0.500
10 Pd 0.660 0.934 0.411
11 Pd 0.687 0.813 0.813

Output
symmetry	C2/m (12)
formation enthalpy at 0 K	-0.0314	eV/atom

=====

Crystalline LiSnAu6 at its relaxed geometry. Source: the Alexandria database, functional GGA-PBE.

Unit cell a=5.167 b=5.755 c=5.755 alpha=120.00 beta=90.00 gamma=90.00
Atoms (fractional coordinates):
1 Li 0.000 0.083 0.917
2 Sn 0.500 0.417 0.583
3 Au 0.000 0.081 0.416
4 Au 0.000 0.584 0.919
5 Au 0.000 0.584 0.416
6 Au 0.500 0.414 0.082
7 Au 0.500 0.918 0.586
8 Au 0.500 0.918 0.082

Output
symmetry	P-6m2 (187)
formation enthalpy at 0 K	-0.2015	eV/atom
polymorph energy (0 for the lowest one)	0	meV/atom